## A
Compound: OsSe5
Source: Alexandria via LeMat-Bulk
Functional: PBE-GGA
Structure: relaxed

It has space group P-62m (No. 189), with a = 7.5417 Å, b = 7.5417 Å, c = 2.9368 Å, α = 90.00°, β = 90.00° and γ = 120.00°. The asymmetric unit holds Os at (0.0000, 0.0000, 0.0000), Se at (0.0000, 0.7333, 0.5000) and Se at (0.3333, 0.6667, 0.0000).

---

## B
Compound: OsSe5
Source: Alexandria via LeMat-Bulk
Functional: PBE-GGA
Structure: relaxed

It has space group Amm2 (No. 38), with a = 5.374 Å, b = 3.667 Å, c = 13.186 Å, α = 90.00°, β = 90.00° and γ = 90.00°. The asymmetric unit holds Os at (0.000, 0.000, 0.000), Se at (0.000, 0.000, 0.375), Se at (0.000, 0.000, 0.629), Se at (0.500, 0.000, 0.016), Se at (0.500, 0.000, 0.310) and Se at (0.500, 0.000, 0.662).

---

## C
Compound: OsSe5
Source: Alexandria via LeMat-Bulk
Functional: PBE-GGA
Structure: relaxed

It has space group Cm (No. 8), with a = 13.033 Å, b = 3.512 Å, c = 6.822 Å, α = 90.00°, β = 98.61° and γ = 90.00°. The asymmetric unit holds Os at (0.000, 0.000, 0.000), Se at (0.051, 0.500, 0.255), Se at (0.090, 0.500, 0.839), Se at (0.299, 0.000, 0.551), Se at (0.354, 0.000, 0.908) and Se at (0.402, 0.500, 0.353).

---

Preferred: B; penalty for the next structure: 0.042 eV/atom.

---

## A
Compound: Os2Se
Source: Alexandria via LeMat-Bulk
Functional: PBE-GGA
Structure: relaxed

It has space group Pa-3 (No. 205), with a = 5.904 Å, b = 5.904 Å, c = 5.904 Å, α = 90.00°, β = 90.00° and γ = 90.00°. The asymmetric unit holds Os at (0.119, 0.119, 0.119) and Se at (0.000, 0.000, 0.500).

---

## B
Compound: Os2Se
Source: Alexandria via LeMat-Bulk
Functional: PBE-GGA
Structure: relaxed

It has space group P-3m1 (No. 164), with a = 2.8793 Å, b = 2.8793 Å, c = 6.3408 Å, α = 90.00°, β = 90.00° and γ = 120.00°. The asymmetric unit holds Os at (0.3333, 0.6667, 0.3386) and Se at (0.0000, 0.0000, 0.0000).

---

## C
Compound: Os2Se
Source: Alexandria via LeMat-Bulk
Functional: PBE-GGA
Structure: relaxed

It has space group C2/m (No. 12), with a = 9.941 Å, b = 2.833 Å, c = 8.147 Å, α = 90.00°, β = 101.05° and γ = 90.00°. The asymmetric unit holds Os at (0.041, 0.000, 0.356), Os at (0.183, 0.500, 0.605) and Se at (0.152, 0.500, 0.163).

---

## D
Compound: Os2Se
Source: Alexandria via LeMat-Bulk
Functional: PBE-GGA
Structure: relaxed

It has space group Cmcm (No. 63), with a = 2.931 Å, b = 16.621 Å, c = 3.826 Å, α = 90.00°, β = 90.00° and γ = 90.00°. The asymmetric unit holds Os at (0.000, 0.064, 0.250), Os at (0.000, 0.287, 0.750) and Se at (0.000, 0.391, 0.250).

---

Preferred: C; penalty for the next structure: 0.227 eV/atom.

---

## A
Compound: Os2Se
Source: Alexandria via LeMat-Bulk
Functional: PBE-GGA
Structure: relaxed

It has space group P-3m1 (No. 164), with a = 4.1785 Å, b = 4.1785 Å, c = 3.0116 Å, α = 90.00°, β = 90.00° and γ = 120.00°. The asymmetric unit holds Os at (0.3333, 0.6667, 0.2418) and Se at (0.0000, 0.0000, 0.5000).

---

## B
Compound: Os2Se
Source: Alexandria via LeMat-Bulk
Functional: PBE-GGA
Structure: relaxed

It has space group C2/m (No. 12), with a = 10.605 Å, b = 2.945 Å, c = 6.189 Å, α = 90.00°, β = 109.04° and γ = 90.00°. The asymmetric unit holds Os at (0.063, 0.000, 0.320), Os at (0.126, 0.500, 0.993) and Se at (0.192, 0.500, 0.654).

---

## C
Compound: Os2Se
Source: Alexandria via LeMat-Bulk
Functional: PBE-GGA
Structure: relaxed

It has space group P6_3/mmc (No. 194), with a = 4.3078 Å, b = 4.3078 Å, c = 5.6395 Å, α = 90.00°, β = 90.00° and γ = 120.00°. The asymmetric unit holds Os at (0.0000, 0.0000, 0.0000), Os at (0.3333, 0.6667, 0.2500) and Se at (0.3333, 0.6667, 0.7500).

---

## D
Compound: Os2Se
Source: Alexandria via LeMat-Bulk
Functional: PBE-GGA
Structure: relaxed

It has space group Cm (No. 8), with a = 10.355 Å, b = 2.849 Å, c = 7.340 Å, α = 90.00°, β = 116.68° and γ = 90.00°. The asymmetric unit holds Os at (0.000, 0.000, 0.000), Os at (0.046, 0.500, 0.713), Os at (0.265, 0.000, 0.016), Os at (0.451, 0.500, 0.357), Se at (0.129, 0.500, 0.307) and Se at (0.303, 0.000, 0.711).

---

Preferred: B; penalty for the next structure: 0.040 eV/atom.

---

## A
Compound: Os2Se
Source: Alexandria via LeMat-Bulk
Functional: PBE-GGA
Structure: relaxed

It has space group I4/mmm (No. 139), with a = 2.913 Å, b = 2.913 Å, c = 10.951 Å, α = 90.00°, β = 90.00° and γ = 90.00°. The asymmetric unit holds Os at (0.000, 0.000, 0.175) and Se at (0.000, 0.000, 0.500).

---

## B
Compound: Os2Se
Source: Alexandria via LeMat-Bulk
Functional: PBE-GGA
Structure: relaxed

It has space group P-62m (No. 189), with a = 7.3773 Å, b = 7.3773 Å, c = 2.9224 Å, α = 90.00°, β = 90.00° and γ = 120.00°. The asymmetric unit holds Os at (0.0000, 0.3502, 0.0000), Os at (0.0000, 0.6799, 0.5000), Se at (0.0000, 0.0000, 0.5000) and Se at (0.3333, 0.6667, 0.0000).

---

## C
Compound: Os2Se
Source: Alexandria via LeMat-Bulk
Functional: PBE-GGA
Structure: relaxed

It has space group I4/mcm (No. 140), with a = 5.080 Å, b = 5.080 Å, c = 7.990 Å, α = 90.00°, β = 90.00° and γ = 90.00°. The asymmetric unit holds Os at (0.175, 0.325, 0.000) and Se at (0.000, 0.000, 0.250).

---

## D
Compound: Os2Se
Source: Alexandria via LeMat-Bulk
Functional: PBE-GGA
Structure: relaxed

It has space group P4/mmm (No. 123), with a = 3.997 Å, b = 3.997 Å, c = 3.105 Å, α = 90.00°, β = 90.00° and γ = 90.00°. The asymmetric unit holds Os at (0.000, 0.500, 0.000) and Se at (0.000, 0.000, 0.500).

---

Preferred: A; penalty for the next structure: 0.119 eV/atom.

---

## A
Compound: Os2Se
Source: Alexandria via LeMat-Bulk
Functional: PBE-GGA
Structure: relaxed

It has space group Immm (No. 71), with a = 2.889 Å, b = 3.900 Å, c = 8.138 Å, α = 90.00°, β = 90.00° and γ = 90.00°. The asymmetric unit holds Os at (0.000, 0.000, 0.175) and Se at (0.000, 0.000, 0.500).

---

## B
Compound: Os2Se
Source: Alexandria via LeMat-Bulk
Functional: PBE-GGA
Structure: relaxed

It has space group I4_1/amd (No. 141, origin choice 2), with a = 3.055 Å, b = 3.055 Å, c = 20.221 Å, α = 90.00°, β = 90.00° and γ = 90.00°. The asymmetric unit holds Os at (0.000, 0.250, 0.301) and Se at (0.000, 0.250, 0.875).

---

Preferred: A; penalty for the next structure: 0.019 eV/atom.

---

## A
Compound: Os4Se
Source: Alexandria via LeMat-Bulk
Functional: PBE-GGA
Structure: relaxed

It has space group Im-3m (No. 229), with a = 5.560 Å, b = 5.560 Å, c = 5.560 Å, α = 90.00°, β = 90.00° and γ = 90.00°. The asymmetric unit holds Os at (0.250, 0.250, 0.250) and Se at (0.000, 0.000, 0.000).

---

## B
Compound: Os4Se
Source: Alexandria via LeMat-Bulk
Functional: PBE-GGA
Structure: relaxed

It has space group I4/m (No. 87), with a = 6.174 Å, b = 6.174 Å, c = 3.925 Å, α = 90.00°, β = 90.00° and γ = 90.00°. The asymmetric unit holds Os at (0.102, 0.316, 0.000) and Se at (0.000, 0.000, 0.500).

---

Preferred: B; penalty for the next structure: 0.939 eV/atom.

---

## A
Compound: Os5Se
Source: Alexandria via LeMat-Bulk
Functional: PBE-GGA
Structure: relaxed

It has space group Cm (No. 8), with a = 10.084 Å, b = 2.816 Å, c = 6.594 Å, α = 90.00°, β = 107.54° and γ = 90.00°. The asymmetric unit holds Os at (0.000, 0.000, 0.000), Os at (0.053, 0.000, 0.645), Os at (0.121, 0.500, 0.345), Os at (0.220, 0.500, 0.969), Os at (0.321, 0.000, 0.683) and Se at (0.368, 0.000, 0.315).

---

## B
Compound: Os5Se
Source: Alexandria via LeMat-Bulk
Functional: PBE-GGA
Structure: relaxed

It has space group Amm2 (No. 38), with a = 4.353 Å, b = 2.813 Å, c = 14.535 Å, α = 90.00°, β = 90.00° and γ = 90.00°. The asymmetric unit holds Os at (0.000, 0.000, 0.000), Os at (0.000, 0.000, 0.331), Os at (0.000, 0.000, 0.662), Os at (0.500, 0.000, 0.545), Os at (0.500, 0.000, 0.892) and Se at (0.500, 0.000, 0.219).

---

## C
Compound: Os5Se
Source: Alexandria via LeMat-Bulk
Functional: PBE-GGA
Structure: relaxed

It has space group P-62m (No. 189), with a = 4.8119 Å, b = 4.8119 Å, c = 4.4478 Å, α = 90.00°, β = 90.00° and γ = 120.00°. The asymmetric unit holds Os at (0.0000, 0.6434, 0.0000), Os at (0.3333, 0.6667, 0.5000) and Se at (0.0000, 0.0000, 0.5000).

---

Preferred: A; penalty for the next structure: 0.061 eV/atom.

---

## A
Compound: SiOs3Se
Source: Alexandria via LeMat-Bulk
Functional: PBE-GGA
Structure: relaxed

It has space group Pm-3m (No. 221), with a = 4.430 Å, b = 4.430 Å, c = 4.430 Å, α = 90.00°, β = 90.00° and γ = 90.00°. The asymmetric unit holds Si at (0.000, 0.000, 0.000), Os at (0.000, 0.000, 0.500) and Se at (0.500, 0.500, 0.500).

---

## B
Compound: SiOs3Se
Source: Alexandria via LeMat-Bulk
Functional: PBE-GGA
Structure: relaxed

It has space group Pm-3m (No. 221), with a = 4.541 Å, b = 4.541 Å, c = 4.541 Å, α = 90.00°, β = 90.00° and γ = 90.00°. The asymmetric unit holds Si at (0.000, 0.000, 0.000), Os at (0.000, 0.500, 0.500) and Se at (0.500, 0.500, 0.500).

---

Preferred: A; penalty for the next structure: 0.496 eV/atom.

---

## A
Compound: Sn3OsSe
Source: Alexandria via LeMat-Bulk
Functional: PBE-GGA
Structure: relaxed

It has space group Pm-3m (No. 221), with a = 5.323 Å, b = 5.323 Å, c = 5.323 Å, α = 90.00°, β = 90.00° and γ = 90.00°. The asymmetric unit holds Sn at (0.000, 0.000, 0.500), Os at (0.500, 0.500, 0.500) and Se at (0.000, 0.000, 0.000).

---

## B
Compound: Sn3OsSe
Source: Alexandria via LeMat-Bulk
Functional: PBE-GGA
Structure: relaxed

It has space group Pm-3m (No. 221), with a = 5.126 Å, b = 5.126 Å, c = 5.126 Å, α = 90.00°, β = 90.00° and γ = 90.00°. The asymmetric unit holds Sn at (0.000, 0.000, 0.500), Os at (0.000, 0.000, 0.000) and Se at (0.500, 0.500, 0.500).

---

Preferred: B; penalty for the next structure: 1.447 eV/atom.

---

## A
Compound: SnOs2Se
Source: Alexandria via LeMat-Bulk
Functional: PBE-GGA
Structure: relaxed

It has space group Fm-3m (No. 225), with a = 6.422 Å, b = 6.422 Å, c = 6.422 Å, α = 90.00°, β = 90.00° and γ = 90.00°. The asymmetric unit holds Sn at (0.000, 0.000, 0.000), Os at (0.250, 0.250, 0.250) and Se at (0.000, 0.000, 0.500).

---

## B
Compound: SnOs2Se
Source: Alexandria via LeMat-Bulk
Functional: PBE-GGA
Structure: relaxed

It has space group I-42d (No. 122), with a = 5.853 Å, b = 5.853 Å, c = 10.914 Å, α = 90.00°, β = 90.00° and γ = 90.00°. The asymmetric unit holds Sn at (0.000, 0.000, 0.000), Os at (0.212, 0.250, 0.625) and Se at (0.000, 0.000, 0.500).

---

Preferred: A; penalty for the next structure: 0.200 eV/atom.